Nd3Sm5Cd2 | PBE | optimized geometry

Computed properties:
Fermi-level density of states = 14.02 states/eV/f.u.

Cell: 10.5873 10.5873 10.5873 Å, 101.73 89.98 142.85°
Closest atoms and distances in Å follow each position.
Atoms (fractional coordinates):
Nd  0.2280  0.1384  0.3664  4 Sm 3.53-3.74, 4 Cd 3.63-3.87
Nd  0.2500  0.2500  0.0000  4 Cd 3.21, 2 Nd 3.37, 2 Sm 3.44
Nd  0.2720  0.6384  0.9103  4 Sm 3.53-3.74, 4 Cd 3.63-3.87
Nd  0.7280  0.3616  0.0897  4 Sm 3.53-3.74, 4 Cd 3.63-3.87
Nd  0.7500  0.7500  0.0000  4 Cd 3.21, 2 Nd 3.37, 2 Sm 3.44
Nd  0.7720  0.8616  0.6336  4 Sm 3.53-3.74, 4 Cd 3.63-3.87
Sm  0.1700  0.3999  0.5699  1 Cd 2.90
Sm  0.2500  0.5072  0.2572  2 Cd 3.14, 3 Sm 3.24-3.37, 1 Nd 3.44
Sm  0.2500  0.7500  0.5000  8 Sm 3.24-3.37
Sm  0.2500  0.9928  0.7428  2 Cd 3.14, 3 Sm 3.24-3.37, 1 Nd 3.44
Sm  0.3300  0.8999  0.2300  1 Cd 2.90
Sm  0.6700  0.1001  0.7700  1 Cd 2.90
Sm  0.7500  0.0072  0.2572  2 Cd 3.14, 3 Sm 3.24-3.37, 1 Nd 3.44
Sm  0.7500  0.2500  0.5000  8 Sm 3.24-3.37
Sm  0.7500  0.4928  0.7428  2 Cd 3.14, 3 Sm 3.24-3.37, 1 Nd 3.44
Sm  0.8300  0.6001  0.4301  1 Cd 2.90
Cd  0.1384  0.8668  0.0052  3 Sm 2.90-3.14, 2 Nd 3.21
Cd  0.3616  0.3668  0.7284  3 Sm 2.90-3.14, 2 Nd 3.21
Cd  0.6384  0.6332  0.2716  3 Sm 2.90-3.14, 2 Nd 3.21
Cd  0.8616  0.1332  0.9948  3 Sm 2.90-3.14, 2 Nd 3.21

NdSm2Cd | PBE | optimized geometry

Computed properties:
Fermi-level density of states = 6.20 states/eV/f.u.
Polymorph energy (0 for the lowest one) = 0.185 eV per formula unit

Cell: 4.9511 4.9511 4.9512 Å, 90.00 90.00 90.00°
Closest atoms and distances in Å follow each position.
Atoms (fractional coordinates):
Nd  0.0000  0.0000  0.0000  4 Cd 3.50, 8 Sm 3.50
Sm  0.0000  0.5000  0.5000  4 Sm 3.50, 4 Cd 3.50, 4 Nd 3.50
Sm  0.5000  0.0000  0.5000  4 Sm 3.50, 4 Cd 3.50, 4 Nd 3.50
Cd  0.5000  0.5000  0.0000  4 Nd 3.50, 8 Sm 3.50

The records above give, respectively, DFT formation energy values of 0.13; -0.10 eV per atom.